[1]
A plane-wave DFT calculation with SCAN was carried out for a crystal of TiRh3I relaxed with PBEsol.

abc: 4.7208 4.7208 4.7208
angles: 90.00 90.00 90.00
With the nearest neighbours (Å) after each atom.
Space group Pm-3m (No. 221)
Symmetry-distinct sites (fractional):
Ti1 0.0000 0.0000 0.0000  12 Rh 3.34
Rh1 0.0000 0.5000 0.5000  2 I 2.36
I1 0.5000 0.5000 0.5000  6 Rh 2.36

Calculated values
Total DFT energy (no corrections): -29.77 eV per atom
Crystal system: cubic

---

[2]
A plane-wave DFT calculation with SCAN was carried out for a crystal of MoPt2Se relaxed with PBEsol.

abc: 2.8852 2.8852 26.0767
angles: 90.00 90.00 120.00
With the nearest neighbours (Å) after each atom.
Space group R3m (No. 160, hexagonal axes)
Symmetry-distinct sites (fractional):
Mo1 0.0000 0.0000 0.0000  3 Se 2.51, 3 Pt 2.72
Pt1 0.0000 0.0000 0.2511  3 Mo 2.72, 9 Pt 2.83-2.89
Pt2 0.0000 0.0000 0.4967  9 Pt 2.83-2.89, 3 Se 2.91
Se1 0.0000 0.0000 0.7387  3 Mo 2.51

Calculated values
Total DFT energy (no corrections): -48.74 eV per atom
Crystal system: trigonal

---

[3]
A plane-wave DFT calculation with SCAN was carried out for a crystal of TeAuSCl2 relaxed with PBEsol.

abc: 4.7915 4.7915 4.9377
angles: 90.00 90.00 90.00
With the nearest neighbours (Å) after each atom.
Space group P4/mmm (No. 123)
Symmetry-distinct sites (fractional):
Te1 0.0000 0.0000 0.0000  4 S 3.39, 8 Cl 3.44
Au1 0.5000 0.5000 0.5000  4 Cl 2.40, 2 S 2.47
S1 0.5000 0.5000 0.0000  2 Au 2.47
Cl1 0.0000 0.5000 0.5000  2 Au 2.40

Calculated values
Total DFT energy (no corrections): -26.10 eV per atom
Crystal system: tetragonal